Record 1
NaMg6W | GGA-PBE | relaxed

Summary:
Fermi-level density of states: 0.61 states/eV/atom
formation energy from the elements: 299 meV per atom
total DFT energy (no corrections): -21.5 eV for the cell shown
excess energy over the best structure of this formula in the dataset: 0.0000 eV per atom
ρ: 3.45 g/cm3

Cell: 6.215 6.215 4.397 Å, 90.00 90.00 90.00°
Positions (direct):
Na 0.000 0.000 0.000
Mg 0.000 0.500 0.000
Mg 0.271 0.271 0.500
Mg 0.271 0.729 0.500
Mg 0.500 0.000 0.000
Mg 0.729 0.271 0.500
Mg 0.729 0.729 0.500
W 0.500 0.500 0.000

Record 2
NaMg2W | GGA-PBE | relaxed

Summary:
Fermi-level density of states: 0.60 states/eV/atom
formation energy from the elements: 901 meV per atom
total DFT energy (no corrections): -13.9 eV for the cell shown
excess energy over the best structure of this formula in the dataset: 0.0000 eV per atom
ρ: 5.09 g/cm3

Cell: 4.904 4.904 4.904 Å, 60.00 60.00 60.00°
Positions (direct):
Na 0.000 0.000 0.000
Mg 0.250 0.250 0.250
Mg 0.750 0.750 0.750
W 0.500 0.500 0.500

Record 3
Na2YMg | GGA-PBE | relaxed

Summary:
Fermi-level density of states: 1.08 states/eV/atom
formation energy from the elements: 340 meV per atom
total DFT energy (no corrections): -18.7 eV for the cell shown
ρ: 2.05 g/cm3

Cell: 12.866 12.866 12.866 Å, 159.64 159.64 28.95°
Positions (direct):
Na 0.103 0.625 0.978
Na 0.375 0.353 0.478
Na 0.647 0.125 0.022
Na 0.875 0.897 0.522
Y 0.250 0.750 0.500
Y 0.500 0.500 0.000
Mg 0.000 0.000 0.000
Mg 0.750 0.250 0.500

Record 4
NaY2Mg | GGA-PBE | relaxed

Summary:
Fermi-level density of states: 1.22 states/eV/atom
formation energy from the elements: 115 meV per atom
total DFT energy (no corrections): -15.4 eV for the cell shown
ρ: 3.06 g/cm3

Cell: 3.757 3.757 8.655 Å, 90.00 90.00 90.00°
Positions (direct):
Na 0.000 0.000 0.000
Y 0.500 0.500 0.289
Y 0.500 0.500 0.711
Mg 0.000 0.000 0.500

Record 5
NaY2Mg | GGA-PBE | relaxed

Summary:
Fermi-level density of states: 1.13 states/eV/atom
formation energy from the elements: 433 meV per atom
total DFT energy (no corrections): -28.2 eV for the cell shown
ρ: 3.07 g/cm3

Cell: 6.949 6.949 6.949 Å, 102.20 102.20 125.27°
Positions (direct):
Na 0.000 0.000 0.000
Na 0.750 0.250 0.500
Y 0.126 0.625 0.001
Y 0.375 0.376 0.501
Y 0.624 0.125 0.999
Y 0.875 0.874 0.499
Mg 0.250 0.750 0.500
Mg 0.500 0.500 0.000

Record 6
NaY2Mg | GGA-PBE | relaxed

Summary:
Fermi-level density of states: 1.09 states/eV/atom
formation energy from the elements: 182 meV per atom
total DFT energy (no corrections): -15.1 eV for the cell shown
ρ: 2.92 g/cm3

Cell: 12.520 12.520 12.520 Å, 15.88 15.88 15.88°
Positions (direct):
Na 0.000 0.000 0.000
Y 0.095 0.095 0.095
Y 0.905 0.905 0.905
Mg 0.500 0.500 0.500

Record 7
NaYMg4 | GGA-PBE | relaxed

Summary:
Fermi-level density of states: 0.72 states/eV/atom
formation energy from the elements: 43 meV per atom
total DFT energy (no corrections): -13.9 eV for the cell shown
ρ: 2.18 g/cm3

Cell: 6.086 6.086 6.086 Å, 60.00 60.00 60.00°
Positions (direct):
Na 0.000 0.000 0.000
Y 0.750 0.750 0.750
Mg 0.376 0.376 0.376
Mg 0.376 0.376 0.873
Mg 0.376 0.873 0.376
Mg 0.873 0.376 0.376

Record 8
NaMgZn2 | GGA-PBE | relaxed

Summary:
Fermi-level density of states: 0.44 states/eV/atom
formation energy from the elements: 22 meV per atom
total DFT energy (no corrections): -5.4 eV for the cell shown
excess energy over the best structure of this formula in the dataset: 0.0000 eV per atom
ρ: 3.64 g/cm3

Cell: 3.208 3.208 7.900 Å, 90.00 90.00 90.00°
Positions (direct):
Na 0.000 0.000 0.000
Mg 0.000 0.000 0.500
Zn 0.500 0.500 0.279
Zn 0.500 0.500 0.721

Record 9
NaMgZn | GGA-PBE | relaxed

Summary:
Fermi-level density of states: 0.60 states/eV/atom
formation energy from the elements: 82 meV per atom
total DFT energy (no corrections): -3.9 eV for the cell shown
excess energy over the best structure of this formula in the dataset: 0.0873 eV per atom
ρ: 2.71 g/cm3

Cell: 5.006 5.006 3.177 Å, 90.00 90.00 120.00°
Positions (direct):
Na 0.000 0.000 0.000
Mg 0.667 0.333 0.503
Zn 0.333 0.667 0.491

Record 10
NaMgZn2 | GGA-PBE | relaxed

Summary:
Fermi-level density of states: 0.47 states/eV/atom
formation energy from the elements: 227 meV per atom
total DFT energy (no corrections): -9.1 eV for the cell shown
excess energy over the best structure of this formula in the dataset: 0.2041 eV per atom
ρ: 3.28 g/cm3

Cell: 6.259 6.259 6.259 Å, 103.02 103.02 123.33°
Positions (direct):
Na 0.000 0.000 0.000
Na 0.750 0.250 0.500
Mg 0.250 0.750 0.500
Mg 0.500 0.500 0.000
Zn 0.141 0.625 0.016
Zn 0.375 0.391 0.516
Zn 0.609 0.125 0.984
Zn 0.875 0.859 0.484

Record 11
Na2MgZn2 | GGA-PBE | relaxed

Summary:
Fermi-level density of states: 0.49 states/eV/atom
formation energy from the elements: 173 meV per atom
total DFT energy (no corrections): -5.9 eV for the cell shown
excess energy over the best structure of this formula in the dataset: 0.1009 eV per atom
ρ: 2.79 g/cm3

Cell: 7.560 7.560 7.560 Å, 148.18 148.18 45.62°
Positions (direct):
Na 0.250 0.750 0.500
Na 0.750 0.250 0.500
Mg 0.000 0.000 0.000
Zn 0.412 0.412 0.000
Zn 0.588 0.588 0.000

Record 12
NaMg2Zn9 | GGA-PBE | relaxed

Summary:
Fermi-level density of states: 0.29 states/eV/atom
formation energy from the elements: -86 meV per atom
total DFT energy (no corrections): -17.0 eV for the cell shown
ρ: 5.38 g/cm3

Cell: 9.044 9.044 9.044 Å, 33.78 33.78 33.78°
Positions (direct):
Na 0.000 0.000 0.000
Mg 0.143 0.143 0.143
Mg 0.857 0.857 0.857
Zn 0.080 0.587 0.587
Zn 0.334 0.334 0.334
Zn 0.413 0.413 0.920
Zn 0.413 0.920 0.413
Zn 0.500 0.500 0.500
Zn 0.587 0.080 0.587
Zn 0.587 0.587 0.080
Zn 0.666 0.666 0.666
Zn 0.920 0.413 0.413

Record 13
Na2Mg2Zn15 | GGA-PBE | relaxed

Summary:
Fermi-level density of states: 0.33 states/eV/atom
formation energy from the elements: -42 meV per atom
total DFT energy (no corrections): -25.7 eV for the cell shown
ρ: 5.48 g/cm3

Cell: 6.928 6.928 6.928 Å, 83.27 83.27 83.27°
Positions (direct):
Na 0.151 0.151 0.151
Na 0.849 0.849 0.849
Mg 0.393 0.393 0.393
Mg 0.607 0.607 0.607
Zn 0.000 0.500 0.500
Zn 0.146 0.146 0.656
Zn 0.146 0.656 0.146
Zn 0.201 0.500 0.799
Zn 0.201 0.799 0.500
Zn 0.344 0.854 0.854
Zn 0.500 0.000 0.500
Zn 0.500 0.201 0.799
Zn 0.500 0.500 0.000
Zn 0.500 0.799 0.201
Zn 0.656 0.146 0.146
Zn 0.799 0.201 0.500
Zn 0.799 0.500 0.201
Zn 0.854 0.344 0.854
Zn 0.854 0.854 0.344